This record from the Alexandria database describes an optimized crystal structure of Sn2BiBRu. The functional is PBE.

Summary:
ΔH_f (0 K)	0.55	eV per atom
energy	-25.09	eV/cell

```
Sn2BiBRu
1.0
5.0953 0.0000 0.0000
0.0000 4.1142 0.0000
0.0000 0.0000 5.0953
Sn B Bi Ru
2 1 1 1
direct
0.5000 0.0000 0.0000
0.0000 0.0000 0.5000
0.0000 0.0000 0.0000
0.5000 0.5000 0.5000
0.0000 0.5000 0.0000
```

This record from the Alexandria database describes an optimized crystal structure of CsNaBi4. The functional is PBE.

Summary:
ΔH_f (0 K)	-0.16	eV per atom
energy	-18.66	eV/cell

```
CsNaBi4
1.0
-3.0890 -2.8290 5.4111
-0.8326 -6.7852 0.3040
3.6329 -3.6961 4.4683
Bi Na Cs
4 1 1
direct
0.6250 0.1250 0.6250
0.6250 0.6250 0.1250
0.6250 0.6250 0.6250
0.1250 0.6250 0.6250
0.2500 0.2500 0.2500
0.0000 0.0000 0.0000
```

> Which of these has the lowest ΔH_f (0 K)?

CsNaBi4